(1)
{"formula": "BeAu3S", "functional": "PBEsol", "state": "optimized geometry", "formation_energy_uncorrected_kcal_per_mol_atoms": 12.3, "cell": [[-0.223, 4.310, 0.769], [-4.358, -0.145, -0.451], [-0.418, -0.787, 4.293]], "species": ["Be", "S", "Au", "Au", "Au"], "frac_coords": [[0.000, 0.000, 0.000], [0.500, 0.500, 0.500], [0.000, 0.500, 0.000], [0.000, 0.000, 0.500], [0.500, 0.000, 0.000]]}

=====

(2)
{"formula": "BeSb2Au2", "functional": "PBEsol", "state": "optimized geometry", "formation_energy_uncorrected_kcal_per_mol_atoms": 7.6, "cell": [[4.096, 0.000, 0.000], [0.000, 7.141, 0.000], [0.000, 0.000, 7.141]], "species": ["Sb", "Sb", "Sb", "Sb", "Au", "Au", "Au", "Au", "Be", "Be"], "frac_coords": [[0.000, 0.321, 0.821], [0.000, 0.821, 0.679], [0.000, 0.679, 0.179], [0.000, 0.179, 0.321], [0.500, 0.135, 0.635], [0.500, 0.635, 0.865], [0.500, 0.865, 0.365], [0.500, 0.365, 0.135], [0.000, 0.000, 0.000], [0.000, 0.500, 0.500]]}

=====

(3)
{"formula": "BeSbAu2", "functional": "PBEsol", "state": "optimized geometry", "formation_energy_uncorrected_kcal_per_mol_atoms": 8.7, "de_polymorph_mev_per_atom": 418, "cell": [[-3.546, -2.896, 0.757], [-0.137, -2.534, 3.885], [-3.124, 0.968, 3.292]], "species": ["Sb", "Au", "Au", "Be"], "frac_coords": [[0.250, 0.250, 0.250], [0.000, 0.000, 0.000], [0.750, 0.750, 0.750], [0.500, 0.500, 0.500]]}

=====

(4)
{"formula": "BeSbAu2", "functional": "PBEsol", "state": "optimized geometry", "formation_energy_uncorrected_kcal_per_mol_atoms": 5.7, "de_polymorph_mev_per_atom": 286, "cell": [[-2.512, 2.867, 1.238], [-3.113, -2.170, -1.290], [2.541, -2.248, 3.874]], "species": ["Sb", "Au", "Au", "Be"], "frac_coords": [[0.000, 0.000, 0.000], [0.750, 0.250, 0.500], [0.250, 0.750, 0.500], [0.500, 0.500, 0.000]]}

=====

no.,total energy (eV per atom)
1,-3.499
2,-3.864
3,-3.723
4,-3.855